Entry 1:
Below is crystalline RbMnZn2 at its relaxed geometry, with properties calculated at the GGA-PBE level.

Structure (CIF):
```
data_RbMnZn2
_chemical_formula_sum 'Rb4 Mn4 Zn8'
_symmetry_space_group_name_H-M 'I 41/a m d'
_symmetry_Int_Tables_number 141
_cell_length_a 5.410
_cell_length_b 5.410
_cell_length_c 17.401
_cell_angle_alpha 90.00
_cell_angle_beta 90.00
_cell_angle_gamma 90.00
loop_
_symmetry_equiv_pos_as_xyz
'x,y,z'
'-x,-y,-z'
'-y+1/4,x+3/4,z+1/4'
'y+1/4,-x+3/4,-z+1/4'
'-x+1/2,-y,z+1/2'
'x+1/2,y,-z+1/2'
'y+1/4,-x+1/4,z+3/4'
'-y+1/4,x+1/4,-z+3/4'
'x,-y,-z'
'-x,y,z'
'-y+1/4,-x+1/4,-z+3/4'
'y+1/4,x+1/4,z+3/4'
'-x+1/2,y,-z+1/2'
'x+1/2,-y,z+1/2'
'y+1/4,x+3/4,-z+1/4'
'-y+1/4,-x+3/4,z+1/4'
'x+1/2,y+1/2,z+1/2'
'-x+1/2,-y+1/2,-z+1/2'
'-y+3/4,x+1/4,z+3/4'
'y+3/4,-x+1/4,-z+3/4'
'-x,-y+1/2,z'
'x,y+1/2,-z'
'y+3/4,-x+3/4,z+1/4'
'-y+3/4,x+3/4,-z+1/4'
'x+1/2,-y+1/2,-z+1/2'
'-x+1/2,y+1/2,z+1/2'
'-y+3/4,-x+3/4,-z+1/4'
'y+3/4,x+3/4,z+1/4'
'-x,y+1/2,-z'
'x,-y+1/2,z'
'y+3/4,x+1/4,-z+3/4'
'-y+3/4,-x+1/4,z+3/4'
loop_
_atom_site_label
_atom_site_type_symbol
_atom_site_fract_x
_atom_site_fract_y
_atom_site_fract_z
_atom_site_occupancy
Rb1 Rb 0.000 0.250 0.375 1
Mn1 Mn 0.000 0.250 0.875 1
Zn1 Zn 0.000 0.000 0.000 1
```

## Properties
Formation energy in eV per atom: 0.51
Crystal system: tetragonal
DFT total energy in eV per atom: -2.66


Entry 2:
Below is crystalline RbMn3Zn at its relaxed geometry, with properties calculated at the GGA-PBE level.

Structure (CIF):
```
data_RbMn3Zn
_chemical_formula_sum 'Rb1 Mn3 Zn1'
_symmetry_space_group_name_H-M 'P m -3 m'
_symmetry_Int_Tables_number 221
_symmetry_space_group_name_Hall '-P 4 2 3'
_cell_length_a 5.030
_cell_length_b 5.030
_cell_length_c 5.030
_cell_angle_alpha 90.00
_cell_angle_beta 90.00
_cell_angle_gamma 90.00
loop_
_atom_site_label
_atom_site_type_symbol
_atom_site_fract_x
_atom_site_fract_y
_atom_site_fract_z
_atom_site_occupancy
Rb1 Rb 0.000 0.000 0.000 1
Mn1 Mn 0.000 0.500 0.500 1
Zn1 Zn 0.500 0.500 0.500 1
```

## Properties
Formation energy in eV per atom: 1.01
Crystal system: cubic
DFT total energy in eV per atom: -4.94


Entry 3:
Below is crystalline RbMnZn2 at its relaxed geometry, with properties calculated at the GGA-PBE level.

Structure (CIF):
```
data_RbMnZn2
_chemical_formula_sum 'Rb4 Mn4 Zn8'
_symmetry_space_group_name_H-M 'F m -3 m'
_symmetry_Int_Tables_number 225
_symmetry_space_group_name_Hall '-F 4 2 3'
_cell_length_a 7.378
_cell_length_b 7.378
_cell_length_c 7.378
_cell_angle_alpha 90.00
_cell_angle_beta 90.00
_cell_angle_gamma 90.00
loop_
_atom_site_label
_atom_site_type_symbol
_atom_site_fract_x
_atom_site_fract_y
_atom_site_fract_z
_atom_site_occupancy
Rb1 Rb 0.000 0.000 0.000 1
Mn1 Mn 0.000 0.000 0.500 1
Zn1 Zn 0.250 0.250 0.250 1
```

## Properties
Formation energy in eV per atom: 0.68
Crystal system: cubic
DFT total energy in eV per atom: -2.49


Entry 4:
Below is crystalline RbMn3Zn at its relaxed geometry, with properties calculated at the GGA-PBE level.

Structure (CIF):
```
data_RbMn3Zn
_chemical_formula_sum 'Rb1 Mn3 Zn1'
_symmetry_space_group_name_H-M 'P m -3 m'
_symmetry_Int_Tables_number 221
_symmetry_space_group_name_Hall '-P 4 2 3'
_cell_length_a 5.047
_cell_length_b 5.047
_cell_length_c 5.047
_cell_angle_alpha 90.00
_cell_angle_beta 90.00
_cell_angle_gamma 90.00
loop_
_atom_site_label
_atom_site_type_symbol
_atom_site_fract_x
_atom_site_fract_y
_atom_site_fract_z
_atom_site_occupancy
Rb1 Rb 0.000 0.000 0.000 1
Mn1 Mn 0.000 0.000 0.500 1
Zn1 Zn 0.500 0.500 0.500 1
```

## Properties
Formation energy in eV per atom: 2.34
Crystal system: cubic
DFT total energy in eV per atom: -3.61


Entry 5:
Below is crystalline Rb2MnZn at its relaxed geometry, with properties calculated at the GGA-PBE level.

Structure (CIF):
```
data_Rb2MnZn
_chemical_formula_sum 'Rb8 Mn4 Zn4'
_symmetry_space_group_name_H-M 'I -4 2 d'
_symmetry_Int_Tables_number 122
_symmetry_space_group_name_Hall 'I -4 2bw'
_cell_length_a 13.278
_cell_length_b 13.278
_cell_length_c 4.987
_cell_angle_alpha 90.00
_cell_angle_beta 90.00
_cell_angle_gamma 90.00
loop_
_atom_site_label
_atom_site_type_symbol
_atom_site_fract_x
_atom_site_fract_y
_atom_site_fract_z
_atom_site_occupancy
Rb1 Rb 0.072 0.750 0.125 1
Mn1 Mn 0.000 0.000 0.500 1
Zn1 Zn 0.000 0.000 0.000 1
```

## Properties
Formation energy in eV per atom: 0.59
Crystal system: tetragonal
DFT total energy in eV per atom: -2.50


Entry 6:
Below is crystalline Rb3MnZn at its relaxed geometry, with properties calculated at the GGA-PBE level.

Structure (CIF):
```
data_Rb3MnZn
_chemical_formula_sum 'Rb3 Mn1 Zn1'
_symmetry_space_group_name_H-M 'P m -3 m'
_symmetry_Int_Tables_number 221
_symmetry_space_group_name_Hall '-P 4 2 3'
_cell_length_a 6.745
_cell_length_b 6.745
_cell_length_c 6.745
_cell_angle_alpha 90.00
_cell_angle_beta 90.00
_cell_angle_gamma 90.00
loop_
_atom_site_label
_atom_site_type_symbol
_atom_site_fract_x
_atom_site_fract_y
_atom_site_fract_z
_atom_site_occupancy
Rb1 Rb 0.000 0.000 0.500 1
Mn1 Mn 0.500 0.500 0.500 1
Zn1 Zn 0.000 0.000 0.000 1
```

## Properties
Formation energy in eV per atom: 0.74
Crystal system: cubic
DFT total energy in eV per atom: -1.93


Entry 7:
Below is crystalline Rb2ZrMn at its relaxed geometry, with properties calculated at the GGA-PBE level.

Structure (CIF):
```
data_Rb2ZrMn
_chemical_formula_sum 'Rb8 Zr4 Mn4'
_symmetry_space_group_name_H-M 'I -4 2 d'
_symmetry_Int_Tables_number 122
_symmetry_space_group_name_Hall 'I -4 2bw'
_cell_length_a 13.454
_cell_length_b 13.454
_cell_length_c 4.772
_cell_angle_alpha 90.00
_cell_angle_beta 90.00
_cell_angle_gamma 90.00
loop_
_atom_site_label
_atom_site_type_symbol
_atom_site_fract_x
_atom_site_fract_y
_atom_site_fract_z
_atom_site_occupancy
Rb1 Rb 0.091 0.750 0.125 1
Zr1 Zr 0.000 0.000 0.500 1
Mn1 Mn 0.000 0.000 0.000 1
```

## Properties
Formation energy in eV per atom: 1.16
Crystal system: tetragonal
DFT total energy in eV per atom: -3.75


Entry 8:
Below is crystalline RbZr2Mn at its relaxed geometry, with properties calculated at the GGA-PBE level.

Structure (CIF):
```
data_RbZr2Mn
_chemical_formula_sum 'Rb4 Zr8 Mn4'
_symmetry_space_group_name_H-M 'I 41/a m d'
_symmetry_Int_Tables_number 141
_cell_length_a 7.452
_cell_length_b 7.452
_cell_length_c 10.553
_cell_angle_alpha 90.00
_cell_angle_beta 90.00
_cell_angle_gamma 90.00
loop_
_symmetry_equiv_pos_as_xyz
'x,y,z'
'-x,-y,-z'
'-y+1/4,x+3/4,z+1/4'
'y+1/4,-x+3/4,-z+1/4'
'-x+1/2,-y,z+1/2'
'x+1/2,y,-z+1/2'
'y+1/4,-x+1/4,z+3/4'
'-y+1/4,x+1/4,-z+3/4'
'x,-y,-z'
'-x,y,z'
'-y+1/4,-x+1/4,-z+3/4'
'y+1/4,x+1/4,z+3/4'
'-x+1/2,y,-z+1/2'
'x+1/2,-y,z+1/2'
'y+1/4,x+3/4,-z+1/4'
'-y+1/4,-x+3/4,z+1/4'
'x+1/2,y+1/2,z+1/2'
'-x+1/2,-y+1/2,-z+1/2'
'-y+3/4,x+1/4,z+3/4'
'y+3/4,-x+1/4,-z+3/4'
'-x,-y+1/2,z'
'x,y+1/2,-z'
'y+3/4,-x+3/4,z+1/4'
'-y+3/4,x+3/4,-z+1/4'
'x+1/2,-y+1/2,-z+1/2'
'-x+1/2,y+1/2,z+1/2'
'-y+3/4,-x+3/4,-z+1/4'
'y+3/4,x+3/4,z+1/4'
'-x,y+1/2,-z'
'x,-y+1/2,z'
'y+3/4,x+1/4,-z+3/4'
'-y+3/4,-x+1/4,z+3/4'
loop_
_atom_site_label
_atom_site_type_symbol
_atom_site_fract_x
_atom_site_fract_y
_atom_site_fract_z
_atom_site_occupancy
Rb1 Rb 0.000 0.250 0.375 1
Zr1 Zr 0.000 0.000 0.000 1
Mn1 Mn 0.000 0.250 0.875 1
```

## Properties
Formation energy in eV per atom: 1.06
Crystal system: tetragonal
DFT total energy in eV per atom: -5.75


Entry 9:
Below is crystalline Rb2ZrMn at its relaxed geometry, with properties calculated at the GGA-PBE level.

Structure (CIF):
```
data_Rb2ZrMn
_chemical_formula_sum 'Rb8 Zr4 Mn4'
_symmetry_space_group_name_H-M 'F m -3 m'
_symmetry_Int_Tables_number 225
_symmetry_space_group_name_Hall '-F 4 2 3'
_cell_length_a 8.874
_cell_length_b 8.874
_cell_length_c 8.874
_cell_angle_alpha 90.00
_cell_angle_beta 90.00
_cell_angle_gamma 90.00
loop_
_atom_site_label
_atom_site_type_symbol
_atom_site_fract_x
_atom_site_fract_y
_atom_site_fract_z
_atom_site_occupancy
Rb1 Rb 0.250 0.250 0.250 1
Zr1 Zr 0.000 0.000 0.000 1
Mn1 Mn 0.000 0.000 0.500 1
```

## Properties
Formation energy in eV per atom: 1.65
Crystal system: cubic
DFT total energy in eV per atom: -3.26


Entry 10:
Below is crystalline RbZr2Mn at its relaxed geometry, with properties calculated at the GGA-PBE level.

Structure (CIF):
```
data_RbZr2Mn
_chemical_formula_sum 'Rb4 Zr8 Mn4'
_symmetry_space_group_name_H-M 'F m -3 m'
_symmetry_Int_Tables_number 225
_symmetry_space_group_name_Hall '-F 4 2 3'
_cell_length_a 7.176
_cell_length_b 7.176
_cell_length_c 7.176
_cell_angle_alpha 90.00
_cell_angle_beta 90.00
_cell_angle_gamma 90.00
loop_
_atom_site_label
_atom_site_type_symbol
_atom_site_fract_x
_atom_site_fract_y
_atom_site_fract_z
_atom_site_occupancy
Rb1 Rb 0.000 0.000 0.000 1
Zr1 Zr 0.250 0.250 0.250 1
Mn1 Mn 0.000 0.000 0.500 1
```

## Properties
Formation energy in eV per atom: 1.20
Crystal system: cubic
DFT total energy in eV per atom: -5.61